Record 1
The following is a GGA-PBE calculation of a relaxed SrCuSe2 crystal, from Alexandria.

Results
Electronic total energy (eV/atom): -3.46
Density of states at the Fermi level (states/eV per atom): 0.68
V (Å³/cell): 91.85

Unit cell a=5.064 b=5.064 c=5.064 alpha=60.00 beta=60.00 gamma=60.00
Positions (direct):
Sr 0.000 0.000 0.000
Cu 0.750 0.750 0.750
Se 0.250 0.250 0.250
Se 0.500 0.500 0.500

Record 2
The following is a GGA-PBE calculation of a relaxed CePm2Zn2Ge2 crystal, from Alexandria.

Results
Electronic total energy (eV/atom): -4.34
Density of states at the Fermi level (states/eV per atom): 1.29
V (Å³/cell): 173.07

Unit cell a=11.648 b=11.648 c=11.648 alpha=20.71 beta=20.71 gamma=20.71
Positions (direct):
Ce 0.000 0.000 0.000
Pm 0.123 0.123 0.123
Pm 0.877 0.877 0.877
Zn 0.391 0.391 0.391
Zn 0.609 0.609 0.609
Ge 0.269 0.269 0.269
Ge 0.731 0.731 0.731